Nb2Co2Ru at its PBEsol-relaxed geometry. Source: Alexandria, functional meta-GGA SCAN.

Cell lengths 6.6189, 6.6189, 3.1363 Å; angles 90.00, 90.00, 90.00 degrees
Sites, in units of the cell vectors:
1 Nb 0.1791 0.3209 0.0000
2 Nb 0.3209 0.8209 0.0000
3 Nb 0.6791 0.1791 0.0000
4 Nb 0.8209 0.6791 0.0000
5 Co 0.1226 0.6226 0.5000
6 Co 0.3774 0.1226 0.5000
7 Co 0.6226 0.8774 0.5000
8 Co 0.8774 0.3774 0.5000
9 Ru 0.0000 0.0000 0.5000
10 Ru 0.5000 0.5000 0.5000

Properties
DOS at the Fermi energy = 1.09 states/eV/atom
Formation energy from the elements = -0.050 eV/atom



KYIr2 at its PBEsol-relaxed geometry. Source: Alexandria, functional meta-GGA SCAN.

Cell lengths 4.8130, 4.8130, 4.8130 Å; angles 60.00, 60.00, 60.00 degrees
Sites, in units of the cell vectors:
1 K 0.0000 0.0000 0.0000
2 Y 0.5000 0.5000 0.5000
3 Ir 0.2500 0.2500 0.2500
4 Ir 0.7500 0.7500 0.7500

Properties
DOS at the Fermi energy = 0.49 states/eV/atom
Formation energy from the elements = 0.385 eV/atom



CuRe2Pb at its PBEsol-relaxed geometry. Source: Alexandria, functional meta-GGA SCAN.

Cell lengths 5.5516, 5.5516, 2.9943 Å; angles 105.60, 105.60, 121.71 degrees
Sites, in units of the cell vectors:
1 Cu 0.0000 0.0000 0.0000
2 Re 0.0000 0.5000 0.5000
3 Re 0.5000 0.0000 0.5000
4 Pb 0.5000 0.5000 0.0000

Properties
DOS at the Fermi energy = 0.75 states/eV/atom
Distance to the lowest polymorph of the same formula = 4.05 kJ/mol of atoms
Formation energy from the elements = 0.941 eV/atom



TaAgSb3 at its PBEsol-relaxed geometry. Source: Alexandria, functional meta-GGA SCAN.

Cell lengths 5.1400, 5.1400, 5.1400 Å; angles 90.00, 90.00, 90.00 degrees
Sites, in units of the cell vectors:
1 Ta 0.0000 0.0000 0.0000
2 Ag 0.5000 0.5000 0.5000
3 Sb 0.0000 0.5000 0.5000
4 Sb 0.5000 0.0000 0.5000
5 Sb 0.5000 0.5000 0.0000

Properties
Formation energy (no corrections) = 1.400 eV/atom
DOS at the Fermi energy = 0.97 states/eV/atom



Nb2SnC at its PBEsol-relaxed geometry. Source: Alexandria, functional meta-GGA SCAN.

Cell lengths 3.2441, 3.2441, 13.7585 Å; angles 90.00, 90.00, 120.00 degrees
Sites, in units of the cell vectors:
1 Nb 0.3333 0.6667 0.0833
2 Nb 0.3333 0.6667 0.4167
3 Nb 0.6667 0.3333 0.5833
4 Nb 0.6667 0.3333 0.9167
5 Sn 0.3333 0.6667 0.7500
6 Sn 0.6667 0.3333 0.2500
7 C 0.0000 0.0000 0.0000
8 C 0.0000 0.0000 0.5000

Properties
DOS at the Fermi energy = 0.41 states/eV/atom
Distance to the lowest polymorph of the same formula = 0.00 kJ/mol of atoms
Formation energy from the elements = -0.443 eV/atom



ScMoPb at its PBEsol-relaxed geometry. Source: Alexandria, functional meta-GGA SCAN.

Cell lengths 5.2756, 5.2756, 5.2756 Å; angles 140.82, 140.82, 56.62 degrees
Sites, in units of the cell vectors:
1 Sc 0.0000 0.0000 0.0000
2 Mo 0.6570 0.6570 0.0000
3 Pb 0.3187 0.3187 0.0000

Properties
DOS at the Fermi energy = 0.26 states/eV/atom
Distance to the lowest polymorph of the same formula = 0.00 kJ/mol of atoms
Formation energy from the elements = 0.005 eV/atom



BaZn2Ni at its PBEsol-relaxed geometry. Source: Alexandria, functional meta-GGA SCAN.

Cell lengths 3.3145, 3.3145, 7.1749 Å; angles 90.00, 90.00, 90.00 degrees
Sites, in units of the cell vectors:
1 Ba 0.0000 0.0000 0.0000
2 Zn 0.0000 0.0000 0.4432
3 Zn 0.5000 0.5000 0.6506
4 Ni 0.5000 0.5000 0.3194

Properties
DOS at the Fermi energy = 0.56 states/eV/atom
Formation energy from the elements = 0.133 eV/atom



MnPbBr2 at its PBEsol-relaxed geometry. Source: Alexandria, functional meta-GGA SCAN.

Cell lengths 5.8573, 5.8573, 5.7709 Å; angles 110.53, 110.53, 34.79 degrees
Sites, in units of the cell vectors:
1 Mn 0.0000 0.0000 0.0000
2 Pb 0.2747 0.2747 0.9838
3 Br 0.4318 0.4318 0.6457
4 Br 0.6349 0.6349 0.3116

Properties
Formation energy (no corrections) = -0.536 eV/atom
DOS at the Fermi energy = 0.41 states/eV/atom
Distance to the lowest polymorph of the same formula = 0.00 kJ/mol of atoms



Mn5Al8 at its PBEsol-relaxed geometry. Source: Alexandria, functional meta-GGA SCAN.

Cell lengths 7.6317, 7.6317, 7.6317 Å; angles 109.54, 109.54, 109.54 degrees
Sites, in units of the cell vectors:
1 Mn 0.0000 0.0000 0.0000
2 Mn 0.1762 0.8375 0.8375
3 Mn 0.2179 0.2179 0.8726
4 Mn 0.2179 0.8726 0.2179
5 Mn 0.6418 0.8521 0.8521
6 Mn 0.8375 0.1762 0.8375
7 Mn 0.8375 0.8375 0.1762
8 Mn 0.8521 0.6418 0.8521
9 Mn 0.8521 0.8521 0.6418
10 Mn 0.8726 0.2179 0.2179
11 Al 0.1291 0.5233 0.8973
12 Al 0.1291 0.8973 0.5233
13 Al 0.1840 0.1840 0.4023
14 Al 0.1840 0.4023 0.1840
15 Al 0.2324 0.5881 0.5881
16 Al 0.4023 0.1840 0.1840
17 Al 0.4917 0.4917 0.8502
18 Al 0.4917 0.8502 0.4917
19 Al 0.5233 0.1291 0.8973
20 Al 0.5233 0.8973 0.1291
21 Al 0.5394 0.5394 0.5394
22 Al 0.5881 0.2324 0.5881
23 Al 0.5881 0.5881 0.2324
24 Al 0.8502 0.4917 0.4917
25 Al 0.8973 0.1291 0.5233
26 Al 0.8973 0.5233 0.1291

Properties
DOS at the Fermi energy = 0.53 states/eV/atom
Distance to the lowest polymorph of the same formula = 12.76 kJ/mol of atoms
Formation energy from the elements = -0.240 eV/atom



ZnCuNi2 at its PBEsol-relaxed geometry. Source: Alexandria, functional meta-GGA SCAN.

Cell lengths 3.6046, 3.6046, 3.4175 Å; angles 90.00, 90.00, 90.00 degrees
Sites, in units of the cell vectors:
1 Zn 0.0000 0.0000 0.0000
2 Cu 0.5000 0.5000 0.0000
3 Ni 0.0000 0.5000 0.5000
4 Ni 0.5000 0.0000 0.5000

Properties
DOS at the Fermi energy = 0.81 states/eV/atom
Formation energy from the elements = -0.077 eV/atom



ScAlSb2 at its PBEsol-relaxed geometry. Source: Alexandria, functional meta-GGA SCAN.

Cell lengths 3.2814, 3.2814, 8.6894 Å; angles 90.00, 90.00, 104.72 degrees
Sites, in units of the cell vectors:
1 Sc 0.0000 0.0000 0.0000
2 Al 0.0000 0.0000 0.5000
3 Sb 0.5000 0.5000 0.2420
4 Sb 0.5000 0.5000 0.7580

Properties
Formation energy (no corrections) = -0.184 eV/atom
DOS at the Fermi energy = 0.62 states/eV/atom
Distance to the lowest polymorph of the same formula = 0.00 kJ/mol of atoms



LaHgAs2 at its PBEsol-relaxed geometry. Source: Alexandria, functional meta-GGA SCAN.

Cell lengths 3.7216, 3.7216, 6.5694 Å; angles 90.00, 90.00, 90.00 degrees
Sites, in units of the cell vectors:
1 La 0.0000 0.0000 0.0000
2 Hg 0.5000 0.5000 0.6982
3 As 0.0000 0.0000 0.4470
4 As 0.5000 0.5000 0.2724

Properties
DOS at the Fermi energy = 0.65 states/eV/atom
Formation energy from the elements = -0.462 eV/atom



Q: What is the DOS at the Fermi energy in the eighth record?
A: 0.41 states/eV/atom



Q: Number 3 is which compound?
A: CuRe2Pb



Q: What is the formula in the fourth record?
A: TaAgSb3



Q: Among the records above, which one has the lowest DOS at the Fermi energy?
A: ScMoPb